1.
First-principles (PBE-GGA) data for a geometry-optimized LiLu2As structure, as listed in Alexandria.

Cell: 3.732 3.732 10.081 Å, 79.33 79.33 60.00°
Fractional coordinates of all 4 atoms:
Lu  0.109  0.109  0.674
Lu  0.891  0.891  0.326
Li  0.000  0.000  0.000
As  0.500  0.500  0.500

## Properties
Raw total energy = -17.1 eV per cell
ΔE_f = -0.363 eV/atom

---

2.
First-principles (PBE-GGA) data for a geometry-optimized LiLuAs structure, as listed in Alexandria.

Cell: 4.519 4.519 4.519 Å, 60.00 60.00 60.00°
Fractional coordinates of all 3 atoms:
Li  0.000  0.000  0.000
As  0.250  0.250  0.250
Lu  0.500  0.500  0.500

## Properties
Raw total energy = -13.5 eV per cell
ΔE_f = -0.813 eV/atom

---

3.
First-principles (PBE-GGA) data for a geometry-optimized LiLuAsPt structure, as listed in Alexandria.

Cell: 4.680 4.680 4.680 Å, 60.00 60.00 60.00°
Fractional coordinates of all 4 atoms:
Li  0.500  0.500  0.500
Lu  0.000  0.000  0.000
As  0.250  0.250  0.250
Pt  0.750  0.750  0.750

## Properties
Raw total energy = -20.6 eV per cell
ΔE_f = -0.872 eV/atom

---

4.
First-principles (PBE-GGA) data for a geometry-optimized LiMgAs2 structure, as listed in Alexandria.

Cell: 5.894 5.894 5.894 Å, 145.35 138.89 54.82°
Fractional coordinates of all 4 atoms:
Mg  0.781  0.281  0.500
Li  0.512  0.512  0.000
As  0.200  0.700  0.500
As  0.007  0.007  0.000

## Properties
Raw total energy = -14.1 eV per cell
ΔE_f = -0.326 eV/atom

---

ΔE_f of number 3 (LiLuAsPt)? -0.872 eV/atom